1:
Density functional theory data (PBE) for crystalline CaTlMo2 at its relaxed geometry.

POSCAR file:
```
CaTlMo2
1.0
-4.277 0.243 -1.456
-4.176 -1.019 1.414
-1.416 6.169 2.762
Mo Tl Ca
2 1 1
direct
0.986 0.986 0.070
0.255 0.255 0.203
0.507 0.507 0.454
0.752 0.752 0.773
```

Density = 7.938 Mg/m³

=====

2:
Density functional theory data (PBE) for crystalline CaTlMo2 at its relaxed geometry.

POSCAR file:
```
CaTlMo2
1.0
5.695 0.010 0.021
2.315 5.203 -0.021
-3.422 -3.503 2.908
Mo Tl Ca
2 1 1
direct
0.965 0.965 0.000
0.788 0.288 0.500
0.514 0.514 0.000
0.232 0.732 0.500
```

Density = 8.436 Mg/m³

=====

Most stable: 2. Least stable: 1.

=====

1:
Density functional theory data (PBE) for crystalline Ca2TlMo at its relaxed geometry.

POSCAR file:
```
Ca2TlMo
1.0
5.047 0.000 0.000
0.000 3.310 0.225
0.000 1.222 6.288
Mo Ca Tl
1 2 1
direct
0.000 0.687 0.498
0.500 0.286 0.302
0.000 0.962 0.953
0.500 0.565 0.747
```

Density = 6.096 Mg/m³

=====

2:
Density functional theory data (PBE) for crystalline Ca2TlMo at its relaxed geometry.

POSCAR file:
```
Ca2TlMo
1.0
-1.252 -0.692 -5.487
2.321 -4.906 -1.642
-3.360 1.178 4.414
Ca Mo Tl
2 1 1
direct
0.000 0.000 0.000
0.250 0.750 0.500
0.500 0.500 0.000
0.750 0.250 0.500
```

Density = 6.110 Mg/m³

=====

Most stable: 1. Least stable: 2.

=====

1:
Density functional theory data (PBE) for crystalline Ca2TlMo at its relaxed geometry.

POSCAR file:
```
Ca2TlMo
1.0
7.193 0.006 0.021
-2.895 5.027 -0.008
1.403 0.816 2.749
Ca Tl Mo
2 1 1
direct
0.500 0.000 0.500
0.000 0.000 0.000
0.500 0.500 0.000
0.000 0.500 0.500
```

Density = 6.363 Mg/m³

=====

2:
Density functional theory data (PBE) for crystalline Ca2TlMo at its relaxed geometry.

POSCAR file:
```
Ca2TlMo
1.0
-4.696 -7.456 -6.187
-1.441 -8.511 -6.436
-3.368 -9.504 -3.777
Ca Tl Mo
2 1 1
direct
0.236 0.236 0.236
0.009 0.009 0.009
0.760 0.760 0.760
0.495 0.495 0.495
```

Density = 5.857 Mg/m³

=====

3:
Density functional theory data (PBE) for crystalline Ca2TlMo at its relaxed geometry.

POSCAR file:
```
Ca2TlMo
1.0
5.758 -0.006 -0.016
2.257 5.297 0.016
-3.999 -2.658 3.177
Tl Mo Ca
1 1 2
direct
0.250 0.750 0.500
0.750 0.250 0.500
0.000 0.000 0.000
0.500 0.500 0.000
```

Density = 6.516 Mg/m³

=====

Most stable: 1. Least stable: 2.

=====

1:
Density functional theory data (PBE) for crystalline CaVMo2 at its relaxed geometry.

POSCAR file:
```
CaVMo2
1.0
-4.538 -0.963 0.348
-0.099 -1.158 -4.504
-0.402 -9.336 0.006
V Ca Mo
2 2 4
direct
0.000 0.000 0.000
0.750 0.250 0.500
0.250 0.750 0.500
0.500 0.500 0.000
0.804 0.625 0.250
0.875 0.196 0.750
0.946 0.125 0.250
0.375 0.054 0.750
```

Density = 4.964 Mg/m³

=====

2:
Density functional theory data (PBE) for crystalline CaVMo2 at its relaxed geometry.

POSCAR file:
```
CaVMo2
1.0
-1.884 -3.468 2.344
-4.469 -0.932 -0.476
-1.330 -3.802 -2.201
V Mo Ca
1 2 1
direct
0.500 0.500 0.500
0.750 0.750 0.750
0.250 0.250 0.250
0.000 0.000 0.000
```

Density = 6.869 Mg/m³

=====

Most stable: 2. Least stable: 1.

=====

1:
Density functional theory data (PBE) for crystalline CaV2Mo at its relaxed geometry.

POSCAR file:
```
CaV2Mo
1.0
4.642 0.000 0.000
0.000 4.642 0.000
2.321 2.321 8.587
V Ca Mo
4 2 2
direct
0.875 0.125 0.750
0.375 0.125 0.750
0.875 0.125 0.250
0.875 0.625 0.250
0.500 0.500 0.000
0.250 0.750 0.500
0.750 0.250 0.500
0.000 0.000 0.000
```

Density = 4.270 Mg/m³

=====

2:
Density functional theory data (PBE) for crystalline CaV2Mo at its relaxed geometry.

POSCAR file:
```
CaV2Mo
1.0
-0.514 2.658 3.775
-3.605 -0.684 2.849
0.688 -1.807 4.224
Mo V Ca
1 2 1
direct
0.500 0.500 0.500
0.750 0.750 0.750
0.250 0.250 0.250
0.000 0.000 0.000
```

Density = 5.573 Mg/m³

=====

Most stable: 2. Least stable: 1.

=====

1:
Density functional theory data (PBE) for crystalline CaMo2W at its relaxed geometry.

POSCAR file:
```
CaMo2W
1.0
-1.183 0.614 -2.888
-2.764 -1.324 0.850
-2.491 6.782 2.462
W Mo Ca
1 2 1
direct
0.500 0.500 0.250
0.000 0.000 0.054
0.000 0.000 0.446
0.500 0.500 0.750
```

Density = 8.939 Mg/m³

=====

2:
Density functional theory data (PBE) for crystalline CaMo2W at its relaxed geometry.

POSCAR file:
```
CaMo2W
1.0
2.817 0.004 0.000
-0.932 2.658 0.000
0.000 0.000 9.670
Mo Ca W
2 1 1
direct
0.000 0.000 0.029
0.500 0.500 0.249
0.500 0.500 0.750
0.000 0.000 0.472
```

Density = 9.530 Mg/m³

=====

Most stable: 2. Least stable: 1.

=====

1:
Density functional theory data (PBE) for crystalline CaMo2W at its relaxed geometry.

POSCAR file:
```
CaMo2W
1.0
-3.627 3.861 -7.772
-2.594 1.190 -8.962
-5.379 1.307 -7.604
Mo Ca W
2 1 1
direct
0.513 0.513 0.513
0.987 0.987 0.987
0.750 0.750 0.750
0.250 0.250 0.250
```

Density = 8.977 Mg/m³

=====

2:
Density functional theory data (PBE) for crystalline CaMo2W at its relaxed geometry.

POSCAR file:
```
CaMo2W
1.0
2.671 0.000 0.000
0.000 4.837 0.000
0.000 0.000 5.579
Mo W Ca
2 1 1
direct
0.000 0.000 0.008
0.500 0.500 0.256
0.000 0.000 0.482
0.500 0.500 0.754
```

Density = 9.578 Mg/m³

=====

Most stable: 1. Least stable: 2.

=====

1:
Density functional theory data (PBE) for crystalline Ca2MoW at its relaxed geometry.

POSCAR file:
```
Ca2MoW
1.0
6.045 -0.004 0.003
2.573 5.470 -0.003
-3.573 -3.894 2.935
Ca W Mo
2 1 1
direct
0.269 0.769 0.500
0.981 0.981 0.000
0.706 0.206 0.500
0.543 0.543 0.000
```

Density = 6.158 Mg/m³

=====

2:
Density functional theory data (PBE) for crystalline Ca2MoW at its relaxed geometry.

POSCAR file:
```
Ca2MoW
1.0
-4.900 2.373 -1.602
-2.754 -3.039 3.923
0.376 2.002 1.815
W Ca Mo
1 2 1
direct
0.000 0.500 0.500
0.000 0.000 0.000
0.500 0.500 0.000
0.500 0.000 0.500
```

Density = 6.802 Mg/m³

=====

Most stable: 1. Least stable: 2.